Record 1
A plane-wave DFT calculation with PBE was carried out for Mn2VCr after structural relaxation.

Cell and atoms, written as POSCAR:
```
Mn2VCr
1.0
-3.196 3.196 2.519
3.196 -3.196 2.519
3.196 3.196 -2.519
Mn V Cr
4 2 2
Cartesian
4.794 1.504 -0.630 Mn
1.504 1.598 0.630 Mn
-1.598 1.692 1.889 Mn
1.692 1.598 3.149 Mn
3.196 0.000 1.260 V
0.000 0.000 2.519 V
0.000 0.000 0.000 Cr
0.000 3.196 1.260 Cr
```

Results
Crystal system: tetragonal
Offset from the most stable computed form, eV/atom: 0.624
Total energy, eV/cell: -69.985
ΔH_f (0 K), eV/atom: 0.522

Record 2
A plane-wave DFT calculation with PBE was carried out for MnV5Cr2 after structural relaxation.

Cell and atoms, written as POSCAR:
```
MnV5Cr2
1.0
-2.950 2.950 6.022
2.950 -2.950 6.022
2.950 2.950 -6.022
Mn V Cr
2 10 4
Cartesian
0.000 0.000 3.011 Mn
0.000 0.000 9.034 Mn
0.000 0.000 0.000 V
3.918 0.968 -1.905 V
0.968 1.982 -1.905 V
3.918 0.968 1.905 V
0.968 1.982 1.905 V
0.000 0.000 6.022 V
1.982 0.968 4.118 V
-0.968 1.982 4.118 V
1.982 0.968 7.927 V
-0.968 1.982 7.927 V
2.095 0.855 0.000 Cr
2.095 -0.855 6.022 Cr
0.855 3.805 0.000 Cr
0.855 2.095 6.022 Cr
```

Results
Crystal system: tetragonal
Offset from the most stable computed form, eV/atom: 0.276
Total energy, eV/cell: -144.267
ΔH_f (0 K), eV/atom: 0.234

Record 3
A plane-wave DFT calculation with PBE was carried out for Mn2V8Cr3 after structural relaxation.

Cell and atoms, written as POSCAR:
```
Mn2V8Cr3
1.0
5.536 -3.239 0.000
5.536 3.239 0.000
-0.466 0.000 4.887
Mn V Cr
2 8 3
Cartesian
2.088 0.000 1.363 Mn
8.519 0.000 3.524 Mn
1.630 0.000 3.921 V
3.914 1.245 2.795 V
4.337 0.000 0.447 V
6.693 1.245 2.092 V
3.914 -1.245 2.795 V
6.270 0.000 4.441 V
6.693 -1.245 2.092 V
8.977 0.000 0.967 V
-0.233 0.000 2.444 Cr
5.536 1.968 0.000 Cr
5.536 -1.968 0.000 Cr
```

Results
Crystal system: monoclinic
Total energy, eV/cell: -115.989
ΔH_f (0 K), eV/atom: 0.321